NbPIN2 | PBE | relaxed

The size of the total moment is 1.3 Bohr magnetons per cell. The formation energy without anion corrections comes out at 1601.3 meV per atom. The energy above the most stable polymorph in this dataset comes out at 0.763 eV/atom. The volume is 76 Å³ per cell.

It has space group P4/mmm (No. 123), with a = 3.832 Å, b = 3.832 Å, c = 5.196 Å, α = 90.00°, β = 90.00° and γ = 90.00°. Symmetry generates all atoms from Nb at (0.000, 0.000, 0.000), P at (0.500, 0.500, 0.500), I at (0.500, 0.500, 0.000) and N at (0.000, 0.500, 0.500).